[1]
The following is a DFT calculation (PBE) of a relaxed structure of SrDy2Ag.

abc: 3.708 3.708 11.569
angles: 80.78 80.78 60.00
Atoms (fractional coordinates):
Dy 0.104 0.104 0.688
Sr 0.000 0.000 0.000
Ag 0.500 0.500 0.500
Dy 0.896 0.896 0.312

E   -3.206 eV/atom
Relative energy among the computed polymorphs   240.8 meV/atom
Energy relative to the elements   21.99 kJ per mole of atoms
Total magnetization   0.000 μB per atom

***

[2]
The following is a DFT calculation (PBE) of a relaxed structure of EuTm.

abc: 3.570 7.069 5.726
angles: 90.00 90.00 75.95
Site moments in Bohr magnetons follow the coordinates.
Atoms (fractional coordinates):
Tm 0.558 0.874 0.750  0.26
Tm 0.442 0.126 0.250  0.26
Eu 0.835 0.342 0.750  6.95
Eu 0.165 0.658 0.250  6.95

E   -7.239 eV/atom
Relative energy among the computed polymorphs   0.0 meV/atom
Energy relative to the elements   12.89 kJ per mole of atoms
Total magnetization   3.868 μB per atom

***

[3]
The following is a DFT calculation (PBE) of a relaxed structure of TmSnBi.

abc: 3.363 3.363 8.609
angles: 101.26 101.26 90.00
Site moments in Bohr magnetons follow the coordinates.
Atoms (fractional coordinates):
Tm 0.761 0.761 0.521  0.11
Bi 0.952 0.952 0.904  0.00
Sn 0.138 0.138 0.275  0.00

E   -4.223 eV/atom
Relative energy among the computed polymorphs   374.6 meV/atom
Energy relative to the elements   -10.11 kJ per mole of atoms
Total magnetization   0.044 μB per atom

***

[4]
The following is a DFT calculation (PBE) of a relaxed structure of TbTh2Ru.

abc: 3.948 3.948 9.289
angles: 77.73 77.73 60.00
Atoms (fractional coordinates):
Ru 0.666 0.666 0.002
Th 0.061 0.061 0.817
Tb 0.500 0.500 0.500
Th 0.273 0.273 0.181

E   -7.339 eV/atom
Relative energy among the computed polymorphs   148.8 meV/atom
Energy relative to the elements   -14.70 kJ per mole of atoms
Total magnetization   0.000 μB per atom

***

[5]
The following is a DFT calculation (PBE) of a relaxed structure of NiRhBr.

abc: 4.223 4.223 4.223
angles: 60.00 60.00 60.00
Site moments in Bohr magnetons follow the coordinates.
Atoms (fractional coordinates):
Br 0.500 0.500 0.500  0.12
Rh 0.000 0.000 0.000  1.04
Ni 0.250 0.250 0.250  0.91

E   -4.212 eV/atom
Relative energy among the computed polymorphs   262.9 meV/atom
Formation energy (no corrections)   0.723 eV per atom
Total magnetization   0.688 μB per atom

***

[6]
The following is a DFT calculation (PBE) of a relaxed structure of Ac6HgRu.

abc: 7.470 7.490 8.266
angles: 63.27 63.33 60.11
Atoms (fractional coordinates):
Ac 0.947 0.591 0.240
Hg 0.500 0.500 0.500
Ac 0.409 0.778 0.759
Ac 0.777 0.052 0.759
Ru 0.000 0.000 0.000
Ac 0.053 0.409 0.760
Ac 0.591 0.222 0.241
Ac 0.223 0.948 0.241

E   -4.366 eV/atom
Energy relative to the elements   -8.45 kJ per mole of atoms
Total magnetization   0.000 μB per atom

***

[7]
The following is a DFT calculation (PBE) of a relaxed structure of Pr3Sm6Dy2Tm.

abc: 6.282 6.282 12.009
angles: 95.01 95.01 120.01
Atoms (fractional coordinates):
Sm 0.749 0.749 0.245
Sm 0.585 0.918 0.755
Pr 0.167 0.833 0.500
Sm 0.415 0.082 0.245
Sm 0.251 0.251 0.755
Pr 0.500 0.500 0.500
Sm 0.082 0.415 0.245
Pr 0.833 0.167 0.500
Dy 0.667 0.333 0.000
Tm 0.000 0.000 0.000
Dy 0.333 0.667 0.000
Sm 0.918 0.585 0.755

E   -4.676 eV/atom
Energy relative to the elements   1.79 kJ per mole of atoms
Total magnetization   0.000 μB per atom

***

[8]
The following is a DFT calculation (PBE) of a relaxed structure of Pm6Pr2Dy3Tl.

abc: 6.219 6.219 11.933
angles: 95.00 95.00 120.09
Atoms (fractional coordinates):
Tl 0.000 0.000 0.000
Dy 0.167 0.833 0.500
Pm 0.590 0.916 0.748
Pm 0.410 0.084 0.252
Pr 0.666 0.334 0.000
Pm 0.084 0.410 0.252
Dy 0.500 0.500 0.500
Pm 0.916 0.590 0.748
Dy 0.833 0.167 0.500
Pr 0.334 0.666 0.000
Pm 0.242 0.242 0.747
Pm 0.758 0.758 0.253

E   -4.550 eV/atom
Energy relative to the elements   -2.92 kJ per mole of atoms
Total magnetization   0.000 μB per atom

***

[9]
The following is a DFT calculation (PBE) of a relaxed structure of Tl2Ga2Bi.

abc: 4.615 4.615 7.322
angles: 71.63 71.63 90.00
Atoms (fractional coordinates):
Tl 0.250 0.750 0.500
Ga 0.405 0.405 0.190
Tl 0.750 0.250 0.500
Bi 0.000 0.000 0.000
Ga 0.595 0.595 0.810

E   -2.765 eV/atom
Relative energy among the computed polymorphs   119.9 meV/atom
Energy relative to the elements   16.23 kJ per mole of atoms
Total magnetization   0.000 μB per atom

***

[10]
The following is a DFT calculation (PBE) of a relaxed structure of Rb3SmTl2O6.

abc: 6.153 6.153 6.880
angles: 98.57 98.57 119.97
Atoms (fractional coordinates):
O 0.397 0.062 0.186
Rb 0.500 0.500 0.500
Tl 0.334 0.666 0.000
Rb 0.170 0.830 0.500
O 0.603 0.938 0.814
Tl 0.666 0.334 0.000
O 0.728 0.728 0.187
Rb 0.830 0.170 0.500
O 0.062 0.397 0.186
O 0.938 0.603 0.814
O 0.272 0.272 0.813
Sm 0.000 0.000 0.000

E   -5.001 eV/atom
Formation energy (no corrections)   -1.492 eV per atom
Total magnetization   0.000 μB per atom

***

[11]
The following is a DFT calculation (PBE) of a relaxed structure of Ti2CSe.

abc: 3.276 3.277 6.221
angles: 105.25 90.00 120.00
Atoms (fractional coordinates):
Se 0.500 0.500 0.000
Ti 0.273 0.047 0.320
Ti 0.727 0.953 0.680
C 0.000 0.500 0.500

E   -8.106 eV/atom
Formation energy (no corrections)   -0.981 eV per atom
Total magnetization   0.000 μB per atom

***

[12]
The following is a DFT calculation (PBE) of a relaxed structure of BaFeSb2.

abc: 3.764 3.764 7.843
angles: 90.00 90.00 90.00
Site moments in Bohr magnetons follow the coordinates.
Atoms (fractional coordinates):
Fe 0.500 0.500 0.863  2.49
Sb 0.000 0.000 0.938  -0.02
Sb 0.500 0.500 0.200  -0.01
Ba 0.000 0.000 0.499  -0.02

E   -4.628 eV/atom
Formation energy (no corrections)   0.030 eV per atom
Total magnetization   0.607 μB per atom

***

> Number 6 is which compound?

Ac6HgRu

***

> Look up the total magnetization of the fourth one.

0.000 μB per atom

***

> Which of these has the highest total magnetization?

EuTm

***

> Which of these has the highest E?

Tl2Ga2Bi